No. 1
Ca2Ac4Tb | Alexandria via LeMat-Bulk | GGA-PBE | optimized geometry; energy of formation = 276.7 meV per atom; total energy = -3.30 eV per atom; volume = 340 Å³/cell; space-group type = Cmmm (65)
1.0
1.900 -14.341 0.000
1.900 14.341 0.000
0.000 0.000 6.242
Ca Ac Tb
2 4 1
direct
0.190 0.810 0.000 Ca
0.810 0.190 0.000 Ca
0.113 0.887 0.500 Ac
0.432 0.568 0.000 Ac
0.568 0.432 0.000 Ac
0.887 0.113 0.500 Ac
0.500 0.500 0.500 Tb


No. 2
H3RhAu | Alexandria via LeMat-Bulk | GGA-PBE | optimized geometry; total energy = -3.97 eV per atom; volume = 93 Å³/cell; space-group type = Cmc2_1 (36)
1.0
2.718 -3.801 0.000
2.718 3.801 0.000
0.000 0.000 4.498
H Rh Au
6 2 2
direct
0.000 0.500 0.498 H
0.000 0.500 0.998 H
0.001 0.999 0.500 H
0.500 0.000 0.498 H
0.500 0.000 0.998 H
0.999 0.001 0.000 H
0.169 0.831 0.248 Rh
0.831 0.169 0.748 Rh
0.396 0.604 0.748 Au
0.604 0.396 0.248 Au


No. 3
ZnCoCu2N | Alexandria via LeMat-Bulk | GGA-PBE | optimized geometry; formation energy from raw total energies = 0.17 eV per atom; total energy = -4.81 eV per atom; volume = 57 Å³/cell; space-group type = P4/mmm (123)
1.0
3.911 0.000 0.000
0.000 3.911 0.000
0.000 0.000 3.711
Zn Co Cu N
1 1 2 1
direct
0.000 0.000 0.000 Zn
0.500 0.500 0.000 Co
0.000 0.500 0.500 Cu
0.500 0.000 0.500 Cu
0.500 0.500 0.500 N


No. 4
TaAsC2 | Alexandria via LeMat-Bulk | GGA-PBE | optimized geometry; energy of formation = 745.4 meV per atom; total energy = -7.99 eV per atom; volume = 114 Å³/cell; space-group type = I-42d (122)
1.0
-2.453 2.453 4.730
2.453 -2.453 4.730
2.453 2.453 -4.730
Ta As C
2 2 4
direct
0.000 0.000 0.000 Ta
0.750 0.250 0.500 Ta
0.250 0.750 0.500 As
0.500 0.500 0.000 As
0.125 0.625 0.000 C
0.375 0.375 0.500 C
0.625 0.125 0.000 C
0.875 0.875 0.500 C


No. 5
K3Zn2Se4 | Alexandria via LeMat-Bulk | GGA-PBE | optimized geometry; formation energy from raw total energies = -0.88 eV per atom; total energy = -3.08 eV per atom; volume = 263 Å³/cell; space-group type = C2/m (12)
1.0
8.626 -2.144 0.000
8.626 2.144 0.000
-3.360 0.000 7.122
K Zn Se
3 2 4
direct
0.000 0.000 0.000 K
0.130 0.130 0.548 K
0.870 0.870 0.452 K
0.329 0.329 0.044 Zn
0.671 0.671 0.956 Zn
0.212 0.212 0.162 Se
0.476 0.476 0.286 Se
0.524 0.524 0.714 Se
0.788 0.788 0.838 Se


No. 6
KCoSi2 | Alexandria via LeMat-Bulk | GGA-PBE | optimized geometry; formation energy from raw total energies = -0.02 eV per atom; total energy = -4.78 eV per atom; volume = 206 Å³/cell; space-group type = I4_1/amd (141)
1.0
-2.928 2.928 6.016
2.928 -2.928 6.016
2.928 2.928 -6.016
K Co Si
2 2 4
direct
0.375 0.625 0.750 K
0.625 0.375 0.250 K
0.125 0.875 0.250 Co
0.875 0.125 0.750 Co
0.000 0.000 0.000 Si
0.000 0.000 0.500 Si
0.000 0.500 0.000 Si
0.500 0.000 0.500 Si